Y3Zn2Cu: optimized geometry, PBE-GGA.

a = 3.5482 Å, b = 3.5482 Å, c = 10.6427 Å
α = 90.00°, β = 90.00°, γ = 90.00°
Sites, in units of the cell vectors:
Y: 0.0000 0.0000 0.0000
Y: 0.0000 0.0000 0.6619
Y: 0.0000 0.0000 0.3381
Zn: 0.5000 0.5000 0.8336
Zn: 0.5000 0.5000 0.1664
Cu: 0.5000 0.5000 0.5000

Computed properties:
distance to the lowest polymorph of the same formula: 0 meV per atom
DOS(E_F): 0.838 states/eV per atom
ΔE_f: -0.3194 eV per atom
total DFT energy (no corrections): -27.95 eV/f.u.